TeSe2Cl: optimized geometry, PBE-GGA.

Output
**Crystal system**: tetragonal
**E_form (uncorrected)**: 0.48 eV per atom
**Volume**: 90 Å³/cell

Unit cell a=4.9209 b=4.9209 c=3.7214 alpha=90.00 beta=90.00 gamma=90.00
With the nearest neighbours (Å) after each atom.
Fractional coordinates of all 4 atoms:
Te 0.0000 0.0000 0.0000  8 Se 3.08
Se 0.0000 0.5000 0.5000  4 Cl 3.08, 4 Te 3.08
Se 0.5000 0.0000 0.5000  4 Cl 3.08, 4 Te 3.08
Cl 0.5000 0.5000 0.0000  8 Se 3.08

TbHo4Si4: optimized geometry, PBE-GGA.

Output
**Crystal system**: tetragonal
**E_form (uncorrected)**: -0.48 eV per atom
**Volume**: 463 Å³/cell

Unit cell a=8.9915 b=8.9915 c=5.7283 alpha=90.00 beta=90.00 gamma=90.00
With the nearest neighbours (Å) after each atom.
Fractional coordinates of all 18 atoms:
Tb 0.2500 0.2500 0.2500  4 Si 2.88
Tb 0.7500 0.7500 0.7500  4 Si 2.88
Ho 0.0828 0.6543 0.1268  5 Si 2.88-3.00
Ho 0.1543 0.9172 0.6268  5 Si 2.88-3.00
Ho 0.3457 0.5828 0.6268  5 Si 2.88-3.00
Ho 0.4172 0.8457 0.1268  5 Si 2.88-3.00
Ho 0.5828 0.1543 0.8732  5 Si 2.88-3.00
Ho 0.6543 0.4172 0.3732  5 Si 2.88-3.00
Ho 0.8457 0.0828 0.3732  5 Si 2.88-3.00
Ho 0.9172 0.3457 0.8732  5 Si 2.88-3.00
Si 0.0266 0.6093 0.6257  1 Si 2.48
Si 0.1093 0.9734 0.1257  1 Si 2.48
Si 0.3907 0.5266 0.1257  1 Si 2.48
Si 0.4734 0.8907 0.6257  1 Si 2.48
Si 0.5266 0.1093 0.3743  1 Si 2.48
Si 0.6093 0.4734 0.8743  1 Si 2.48
Si 0.8907 0.0266 0.8743  1 Si 2.48
Si 0.9734 0.3907 0.3743  1 Si 2.48